Entry from Alexandria: Na2CdHg after structural relaxation (GGA-PBE). Values from VASP.

Cell and atoms, written as Quantum ESPRESSO input:
```
&SYSTEM
  ibrav = 0, nat = 8, ntyp = 3
/
ATOMIC_SPECIES
Na 22.99 Na.upf
Cd 112.41 Cd.upf
Hg 200.59 Hg.upf
CELL_PARAMETERS angstrom
-4.272 4.272 3.122
4.272 -4.272 3.122
4.272 4.272 -3.122
ATOMIC_POSITIONS crystal
Na 0.116 0.625 0.991
Na 0.375 0.366 0.491
Na 0.634 0.125 0.009
Na 0.875 0.884 0.509
Cd 0.250 0.750 0.500
Cd 0.500 0.500 0.000
Hg 0.000 0.000 0.000
Hg 0.750 0.250 0.500
```

**Theoretical density**: 5233 kg/m³
**Raw total energy**: -8.11 eV/cell